Pm2Al9Pd6 after structural relaxation, computed with PBE-GGA.

```
data_Pm2Al9Pd6
_cell_length_a 5.4583
_cell_length_b 5.4583
_cell_length_c 12.5677
_cell_angle_alpha 90.00
_cell_angle_beta 90.00
_cell_angle_gamma 120.00
_symmetry_space_group_name_H-M 'P 6/m m m'
_symmetry_Int_Tables_number 191
_symmetry_space_group_name_Hall '-P 6 2'
loop_
_atom_site_label
_atom_site_type_symbol
_atom_site_fract_x
_atom_site_fract_y
_atom_site_fract_z
Pm1 Pm 0.0000 0.0000 0.1582
Al1 Al 0.0000 0.5000 0.0000
Al2 Al 0.0000 0.5000 0.3391
Pd1 Pd 0.3333 0.6667 0.1723
Pd2 Pd 0.3333 0.6667 0.5000
```

Pm3Al2Pd after structural relaxation, computed with PBE-GGA.

```
data_Pm3Al2Pd
_cell_length_a 8.7406
_cell_length_b 8.7406
_cell_length_c 14.8624
_cell_angle_alpha 90.00
_cell_angle_beta 90.00
_cell_angle_gamma 120.00
_symmetry_space_group_name_H-M 'R -3 c'
_symmetry_Int_Tables_number 167
_symmetry_space_group_name_Hall '-R 3 2"c'
loop_
_atom_site_label
_atom_site_type_symbol
_atom_site_fract_x
_atom_site_fract_y
_atom_site_fract_z
Pm1 Pm 0.0000 0.3359 0.2500
Al1 Al 0.0000 0.0000 0.1652
Pd1 Pd 0.0000 0.0000 0.0000
```

PmAl7Pd5 after structural relaxation, computed with PBE-GGA.

```
data_PmAl7Pd5
_cell_length_a 5.416
_cell_length_b 9.135
_cell_length_c 8.743
_cell_angle_alpha 90.00
_cell_angle_beta 90.00
_cell_angle_gamma 90.00
_symmetry_space_group_name_H-M 'I m m 2'
_symmetry_Int_Tables_number 44
_symmetry_space_group_name_Hall 'I 2 -2'
loop_
_atom_site_label
_atom_site_type_symbol
_atom_site_fract_x
_atom_site_fract_y
_atom_site_fract_z
Pm1 Pm 0.000 0.000 0.000
Al1 Al 0.000 0.000 0.343
Al2 Al 0.000 0.000 0.642
Al3 Al 0.000 0.290 0.506
Al4 Al 0.000 0.349 0.981
Al5 Al 0.000 0.500 0.265
Pd1 Pd 0.000 0.500 0.720
Pd2 Pd 0.248 0.268 0.248
```

Pm6AlPd2 after structural relaxation, computed with PBE-GGA.

```
data_Pm6AlPd2
_cell_length_a 9.610
_cell_length_b 10.000
_cell_length_c 10.617
_cell_angle_alpha 90.00
_cell_angle_beta 90.00
_cell_angle_gamma 90.00
_symmetry_space_group_name_H-M 'I m m m'
_symmetry_Int_Tables_number 71
_symmetry_space_group_name_Hall '-I 2 2'
loop_
_atom_site_label
_atom_site_type_symbol
_atom_site_fract_x
_atom_site_fract_y
_atom_site_fract_z
Pm1 Pm 0.000 0.192 0.240
Pm2 Pm 0.201 0.500 0.172
Pm3 Pm 0.215 0.320 0.500
Al1 Al 0.000 0.000 0.000
Al2 Al 0.000 0.000 0.500
Pd1 Pd 0.000 0.344 0.000
Pd2 Pd 0.000 0.500 0.369
```

PmAl2Pd2 after structural relaxation, computed with PBE-GGA.

```
data_PmAl2Pd2
_cell_length_a 4.179
_cell_length_b 4.179
_cell_length_c 11.130
_cell_angle_alpha 90.00
_cell_angle_beta 90.00
_cell_angle_gamma 90.00
_symmetry_space_group_name_H-M 'I 4/m m m'
_symmetry_Int_Tables_number 139
_symmetry_space_group_name_Hall '-I 4 2'
loop_
_atom_site_label
_atom_site_type_symbol
_atom_site_fract_x
_atom_site_fract_y
_atom_site_fract_z
Pm1 Pm 0.000 0.000 0.000
Al1 Al 0.000 0.500 0.250
Pd1 Pd 0.000 0.000 0.378
```

Values from the calculation:
As for the energy above the most stable polymorph in this dataset: 0.0356 eV per atom.

PmAl2Pd after structural relaxation, computed with PBE-GGA.

```
data_PmAl2Pd
_cell_length_a 3.226
_cell_length_b 3.226
_cell_length_c 7.409
_cell_angle_alpha 90.00
_cell_angle_beta 90.00
_cell_angle_gamma 90.00
_symmetry_space_group_name_H-M 'P 4/m m m'
_symmetry_Int_Tables_number 123
_symmetry_space_group_name_Hall '-P 4 2'
loop_
_atom_site_label
_atom_site_type_symbol
_atom_site_fract_x
_atom_site_fract_y
_atom_site_fract_z
Pm1 Pm 0.000 0.000 0.000
Al1 Al 0.500 0.500 0.308
Pd1 Pd 0.000 0.000 0.500
```

Values from the calculation:
As for the energy above the most stable polymorph in this dataset: 0.1556 eV per atom.

Magnetic moment / Bohr magnetons per cell: 0.0; 0.0; 0.0; 0.0; 0.0; 0.0
Electronic total energy / eV per atom: -5.02; -4.81; -5.12; -5.18; -5.35; -4.96
N(E_F) / states/eV/atom: 0.64; 1.38; 0.39; 1.03; 0.74; 0.41